A relaxed CoP2CO crystal. Source: Alexandria, functional PBE+U.

Cell lengths 4.4202, 4.4202, 3.3652 Å; angles 90.00, 90.00, 90.00 degrees
With the nearest neighbours (Å) after each atom.
Positions (direct):
Co 0.0000 0.0000 0.0000  2 O 1.68
P 0.0000 0.5000 0.0000  2 Co 2.21
P 0.5000 0.0000 0.0000  2 Co 2.21
C 0.5000 0.5000 0.5000  8 P 2.78
O 0.0000 0.0000 0.5000  2 Co 1.68

Results
- DOS at the Fermi energy (states/eV per cell) = 2.78
- space group = P4/mmm, No. 123
- M_tot (μB/cell) = 1.72
- E above lowest polymorph (meV/atom) = 316